Model i:
A relaxed Ta2Mn2Tl crystal, computed with PBE.

Lattice parameters (Å, degrees): 7.171 7.171 3.211 90.00 90.00 90.00
Fractional positions:
Ta 0.174 0.326 0.000
Ta 0.326 0.826 0.000
Ta 0.674 0.174 0.000
Ta 0.826 0.674 0.000
Mn 0.119 0.619 0.500
Mn 0.381 0.119 0.500
Mn 0.619 0.881 0.500
Mn 0.881 0.381 0.500
Tl 0.000 0.000 0.500
Tl 0.500 0.500 0.500

Computed properties:
- Total magnetic moment: 6.6 Bohr magnetons per cell
- Space group: P4/mbm

***

Model ii:
A relaxed Ta2Mn2Tl crystal, computed with PBE.

Lattice parameters (Å, degrees): 5.874 5.874 5.874 138.42 138.42 60.26
Fractional positions:
Ta 0.250 0.750 0.500
Ta 0.750 0.250 0.500
Mn 0.110 0.110 0.000
Mn 0.890 0.890 0.000
Tl 0.500 0.500 0.000

Computed properties:
- Total magnetic moment: 0.0 Bohr magnetons per cell
- Space group: I4/mmm

***

Verdict on stability: model ii comes out at the bottom.

***

Model i:
A relaxed TaMn2Tl crystal, computed with PBE.

Lattice parameters (Å, degrees): 4.573 4.573 4.573 60.00 60.00 60.00
Fractional positions:
Ta 0.000 0.000 0.000
Mn 0.500 0.500 0.500
Mn 0.750 0.750 0.750
Tl 0.250 0.250 0.250

Computed properties:
- Total magnetic moment: 5.2 Bohr magnetons per cell
- Space group: F-43m

***

Model ii:
A relaxed TaMn2Tl crystal, computed with PBE.

Lattice parameters (Å, degrees): 5.190 5.190 5.190 141.69 130.56 64.21
Fractional positions:
Ta 0.000 0.000 0.000
Mn 0.528 0.528 0.000
Mn 0.770 0.270 0.500
Tl 0.269 0.769 0.500

Computed properties:
- Total magnetic moment: 3.9 Bohr magnetons per cell
- Space group: Imm2

***

Model iii:
A relaxed TaMn2Tl crystal, computed with PBE.

Lattice parameters (Å, degrees): 3.252 3.252 6.385 90.00 90.00 90.00
Fractional positions:
Ta 0.000 0.000 0.000
Mn 0.500 0.500 0.213
Mn 0.500 0.500 0.787
Tl 0.000 0.000 0.500

Computed properties:
- Total magnetic moment: 4.8 Bohr magnetons per cell
- Space group: P4/mmm

***

Model iv:
A relaxed TaMn2Tl crystal, computed with PBE.

Lattice parameters (Å, degrees): 4.623 4.623 4.623 125.35 125.35 80.95
Fractional positions:
Ta 0.000 0.000 0.000
Mn 0.250 0.750 0.500
Mn 0.750 0.250 0.500
Tl 0.500 0.500 0.000

Computed properties:
- Total magnetic moment: 3.6 Bohr magnetons per cell
- Space group: I4/mmm

***

Verdict on stability: model i comes out at the bottom.

***

Model i:
A relaxed Ta3MnTl crystal, computed with PBE.

Lattice parameters (Å, degrees): 5.030 5.030 5.030 90.00 90.00 90.00
Fractional positions:
Ta 0.000 0.000 0.500
Ta 0.000 0.500 0.000
Ta 0.500 0.000 0.000
Mn 0.500 0.500 0.500
Tl 0.000 0.000 0.000

Computed properties:
- Total magnetic moment: 1.0 Bohr magnetons per cell
- Space group: Pm-3m

***

Model ii:
A relaxed Ta3MnTl crystal, computed with PBE.

Lattice parameters (Å, degrees): 4.640 4.640 4.640 90.00 90.00 90.00
Fractional positions:
Ta 0.000 0.000 0.500
Ta 0.000 0.500 0.000
Ta 0.500 0.000 0.000
Mn 0.000 0.000 0.000
Tl 0.500 0.500 0.500

Computed properties:
- Total magnetic moment: 0.0 Bohr magnetons per cell
- Space group: Pm-3m

***

Verdict on stability: model i comes out at the bottom.

***

Model i:
A relaxed TaMnV3 crystal, computed with PBE.

Lattice parameters (Å, degrees): 4.285 4.285 4.285 90.00 90.00 90.00
Fractional positions:
Ta 0.000 0.000 0.000
Mn 0.500 0.500 0.500
V 0.000 0.500 0.500
V 0.500 0.000 0.500
V 0.500 0.500 0.000

Computed properties:
- Total magnetic moment: 0.8 Bohr magnetons per cell
- Space group: Pm-3m

***

Model ii:
A relaxed TaMnV3 crystal, computed with PBE.

Lattice parameters (Å, degrees): 6.259 6.259 4.909 90.00 90.00 131.46
Fractional positions:
Ta 0.076 0.924 0.750
Ta 0.924 0.076 0.250
Mn 0.500 0.500 0.000
Mn 0.500 0.500 0.500
V 0.098 0.409 0.750
V 0.326 0.674 0.250
V 0.409 0.098 0.250
V 0.591 0.902 0.750
V 0.674 0.326 0.750
V 0.902 0.591 0.250

Computed properties:
- Total magnetic moment: 0.0 Bohr magnetons per cell
- Space group: Cmcm

***

Verdict on stability: model i comes out at the bottom.

***

Model i:
A relaxed TaMn3V crystal, computed with PBE.

Lattice parameters (Å, degrees): 4.154 4.154 4.154 90.00 90.00 90.00
Fractional positions:
Ta 0.000 0.000 0.000
Mn 0.000 0.500 0.500
Mn 0.500 0.000 0.500
Mn 0.500 0.500 0.000
V 0.500 0.500 0.500

Computed properties:
- Total magnetic moment: 0.0 Bohr magnetons per cell
- Space group: Pm-3m

***

Model ii:
A relaxed TaMn3V crystal, computed with PBE.

Lattice parameters (Å, degrees): 4.647 4.647 4.647 90.00 90.00 90.00
Fractional positions:
Ta 0.000 0.000 0.000
Mn 0.000 0.000 0.500
Mn 0.000 0.500 0.000
Mn 0.500 0.000 0.000
V 0.500 0.500 0.500

Computed properties:
- Total magnetic moment: 11.5 Bohr magnetons per cell
- Space group: Pm-3m

***

Verdict on stability: model ii comes out at the bottom.

***

Model i:
A relaxed TaMn4V crystal, computed with PBE.

Lattice parameters (Å, degrees): 5.828 4.019 6.589 90.00 90.00 90.00
Fractional positions:
Ta 0.250 0.000 0.139
Ta 0.750 0.000 0.861
Mn 0.000 0.000 0.500
Mn 0.029 0.500 0.826
Mn 0.250 0.500 0.455
Mn 0.471 0.500 0.826
Mn 0.500 0.000 0.500
Mn 0.529 0.500 0.174
Mn 0.750 0.500 0.545
Mn 0.971 0.500 0.174
V 0.250 0.000 0.751
V 0.750 0.000 0.249

Computed properties:
- Total magnetic moment: 3.2 Bohr magnetons per cell
- Space group: Pmma

***

Model ii:
A relaxed TaMn4V crystal, computed with PBE.

Lattice parameters (Å, degrees): 4.734 4.734 4.734 60.00 60.00 60.00
Fractional positions:
Ta 0.000 0.000 0.000
Mn 0.375 0.375 0.375
Mn 0.375 0.375 0.874
Mn 0.375 0.874 0.375
Mn 0.874 0.375 0.375
V 0.750 0.750 0.750

Computed properties:
- Total magnetic moment: 0.0 Bohr magnetons per cell
- Space group: F-43m

***

Verdict on stability: model i comes out at the bottom.